! MnBiAsSe2 PBE optimized geometry; values from VASP
! - ΔE_f (raw) (eV per atom) = 0.275
! - ΔE to the lowest computed polymorph (meV per atom) = 0
&SYSTEM
  ibrav = 0, nat = 5, ntyp = 4
/
ATOMIC_SPECIES
As 74.92 As.upf
Mn 54.94 Mn.upf
Bi 208.98 Bi.upf
Se 78.96 Se.upf
CELL_PARAMETERS angstrom
-2.2383 1.3774 -4.1330
3.1398 -2.7111 -2.6039
-2.7849 -3.5406 0.3283
ATOMIC_POSITIONS crystal
As 0.0000 0.0000 0.5000
Mn 0.0000 0.0000 0.0000
Bi 0.5000 0.5000 0.5000
Se 0.0000 0.5000 0.0000
Se 0.5000 0.0000 0.0000